Here is a relaxed structure of Ba2NaMoO6 from the Alexandria database. Energies are from GGA+U.

Values from the calculation:
Space-group type: Fm-3m
Total DFT energy (no corrections) (eV/atom): -6.2885

Cell: 6.0004 6.0004 6.0004 Å, 60.00 60.00 60.00°
Atoms (fractional coordinates):
Ba  0.2500  0.2500  0.2500
Ba  0.7500  0.7500  0.7500
Na  0.0000  0.0000  0.0000
Mo  0.5000  0.5000  0.5000
O  0.2712  0.2712  0.7288
O  0.2712  0.7288  0.2712
O  0.2712  0.7288  0.7288
O  0.7288  0.2712  0.2712
O  0.7288  0.2712  0.7288
O  0.7288  0.7288  0.2712